An optimized crystal structure of Rb2WClF6. Source: Alexandria via LeMat-Bulk, functional PBE+U.

Lattice parameters (Å, degrees): 7.1640 7.1640 9.7898 90.00 90.00 90.00
With the nearest neighbours (Å) after each atom.
Space group I4/mmm (No. 139)
Symmetry-distinct sites (fractional):
Rb (0.0000, 0.5000, 0.2500) (multiplicity 4)  12 F 3.57-3.62
W (0.0000, 0.0000, 0.0000) (multiplicity 2)  6 F 1.90-1.96
Cl (0.0000, 0.0000, 0.5000) (multiplicity 2)  6 F 2.99-3.11
F (0.0000, 0.0000, 0.1942) (multiplicity 4)  1 W 1.90
F (0.1930, 0.1930, 0.0000) (multiplicity 8)  1 W 1.96

Output
Energy ... -93.38 eV/cell
Crystal system ... tetragonal
Excess energy over the best structure of this formula in the dataset ... 0.171 eV per atom